(1)
VASP calculation (PBE) on a geometry-optimized FeTe3 structure.

Results
The energy is -4.052 eV/atom. Its space-group type is Pm-3m, No. 221. The total moment is 3.2 μB/f.u. The value obtained for the uncorrected formation energy is 420 meV per atom.

```
FeTe3
1.0
5.187 0.000 0.000
0.000 5.187 0.000
0.000 0.000 5.187
Fe Te
1 3
Cartesian
0.000 0.000 0.000
2.593 0.000 0.000
0.000 2.593 0.000
0.000 0.000 2.593
```

***

(2)
VASP calculation (PBE) on a geometry-optimized FeTe3 structure.

Results
The energy is -4.350 eV/atom. Its space-group type is P6_3/mmc, No. 194. The total moment is 0.0 μB/f.u. The value obtained for the uncorrected formation energy is 122 meV per atom.

```
FeTe3
1.0
4.318 -7.478 0.000
4.318 7.478 0.000
0.000 0.000 3.610
Fe Te
2 6
Cartesian
4.318 -2.493 2.708
4.318 2.493 0.903
4.318 4.300 2.708
4.318 -4.300 0.903
5.883 1.589 2.708
2.753 -1.589 0.903
5.883 -1.589 0.903
2.753 1.589 2.708
```

***

(3)
VASP calculation (PBE) on a geometry-optimized FeTe2 structure.

Results
The energy is -4.428 eV/atom. Its space-group type is P6_3/mmc, No. 194. The total moment is 3.0 μB/f.u. The value obtained for the uncorrected formation energy is 487 meV per atom.

```
FeTe2
1.0
-1.715 0.440 -4.069
0.794 -4.043 1.648
-8.287 -0.214 3.471
Fe Te
2 4
Cartesian
-2.114 -2.602 0.610
-7.094 -1.215 0.440
0.000 0.000 0.000
-4.143 -0.107 1.735
-6.257 -2.709 2.345
-2.950 -1.108 -1.295
```

***

(4)
VASP calculation (PBE) on a geometry-optimized FeTe3 structure.

Results
The energy is -4.363 eV/atom. Its space-group type is Pnma, No. 62. The total moment is 0.0 μB/f.u. The value obtained for the uncorrected formation energy is 109 meV per atom.

```
FeTe3
1.0
-2.257 -5.438 -0.769
4.669 -2.389 3.188
-5.862 1.103 9.410
Te Fe
12 4
Cartesian
-4.329 -0.213 7.222
-1.016 -4.256 3.164
-2.435 -2.468 8.666
0.878 -6.511 4.608
-5.446 -3.232 8.791
0.088 -1.269 1.590
-1.840 -5.774 7.513
0.297 -3.172 5.765
1.995 -3.492 3.039
-3.538 -5.455 10.239
-1.610 -0.949 4.317
-3.747 -3.551 6.064
-1.168 -4.432 9.685
0.967 -1.280 4.051
-4.418 -5.443 7.779
-2.282 -2.292 2.145
```

***

(5)
VASP calculation (PBE) on a geometry-optimized FeTe2 structure.

Results
The energy is -4.698 eV/atom. Its space-group type is I4_1/amd, No. 141. The total moment is 2.1 μB/f.u. The value obtained for the uncorrected formation energy is 217 meV per atom.

```
FeTe2
1.0
-1.612 1.612 14.105
1.612 -1.612 14.105
1.612 1.612 -14.105
Fe Te
2 4
Cartesian
1.612 0.000 7.052
0.000 0.000 14.105
0.000 1.612 8.703
0.000 0.000 26.559
0.000 1.612 5.402
0.000 0.000 1.651
```

***

(6)
VASP calculation (PBE) on a geometry-optimized Fe3Te structure.

Results
The energy is -6.735 eV/atom. Its space-group type is P-6m2, No. 187. The total moment is 6.8 μB/f.u. The value obtained for the uncorrected formation energy is 398 meV per atom.

```
Fe3Te
1.0
-3.486 -1.186 1.052
3.085 -2.084 0.901
0.462 2.629 4.496
Fe Te
3 1
Cartesian
0.010 0.054 0.093
0.222 1.260 2.155
-1.180 -0.828 2.126
-0.949 0.486 4.374
```

***

(7)
VASP calculation (PBE) on a geometry-optimized FeTe7 structure.

Results
The energy is -3.200 eV/atom. Its space-group type is Fm-3m, No. 225. The total moment is 3.8 μB/f.u. The value obtained for the uncorrected formation energy is 606 meV per atom.

```
FeTe7
1.0
1.485 -5.690 -3.309
1.435 -5.625 3.438
-4.361 -5.149 0.017
Fe Te
1 7
Cartesian
0.000 0.000 0.000
1.460 -5.657 0.064
-1.438 -5.419 -1.646
0.742 -2.845 -1.654
-2.180 -2.574 0.009
0.718 -2.813 1.719
-1.463 -5.387 1.727
-0.720 -8.232 0.073
```

***

(8)
VASP calculation (PBE) on a geometry-optimized FeTe2 structure.

Results
The energy is -4.492 eV/atom. Its space-group type is P4/mmm, No. 123. The total moment is 2.6 μB/f.u. The value obtained for the uncorrected formation energy is 423 meV per atom.

```
FeTe2
1.0
4.660 0.000 0.000
0.000 4.660 0.000
0.000 0.000 3.369
Fe Te
1 2
Cartesian
0.000 0.000 0.000
0.000 2.330 1.685
2.330 0.000 1.685
```

***

(9)
VASP calculation (PBE) on a geometry-optimized FeTe2 structure.

Results
The energy is -5.089 eV/atom. Its space-group type is Pnnm, No. 58. The total moment is 0.0 μB/f.u. The value obtained for the uncorrected formation energy is -173 meV per atom.

```
FeTe2
1.0
-1.813 -2.998 1.693
0.831 -2.922 -4.284
5.442 -1.947 2.383
Fe Te
2 4
Cartesian
0.000 0.000 0.000
2.230 -3.933 -0.104
3.666 -1.909 0.547
2.607 -2.959 -2.447
4.385 -5.302 -0.219
0.075 -2.564 0.011
```

***

(10)
VASP calculation (PBE) on a geometry-optimized Fe3Te structure.

Results
The energy is -6.889 eV/atom. Its space-group type is P6_3/mmc, No. 194. The total moment is 8.0 μB/f.u. The value obtained for the uncorrected formation energy is 244 meV per atom.

```
Fe3Te
1.0
5.537 0.000 0.000
-2.769 4.796 0.000
0.000 0.000 8.815
Te Fe
4 12
Cartesian
0.000 0.000 0.000
0.000 0.000 4.408
0.000 3.197 2.204
2.769 1.598 6.611
2.769 0.000 0.000
2.769 0.000 4.408
-1.384 2.398 0.000
1.384 2.398 0.000
1.384 2.398 4.408
-1.384 2.398 4.408
2.769 3.009 2.204
0.000 1.787 6.611
1.547 0.893 2.204
3.990 0.893 2.204
-1.221 3.902 6.611
1.221 3.902 6.611
```

***

(11)
VASP calculation (PBE) on a geometry-optimized Fe3Te structure.

Results
The energy is -6.819 eV/atom. Its space-group type is Pmmm, No. 47. The total moment is 7.7 μB/f.u. The value obtained for the uncorrected formation energy is 314 meV per atom.

```
Fe3Te
1.0
3.287 0.000 0.000
0.000 3.273 0.000
0.000 0.000 5.497
Fe Te
3 1
Cartesian
1.644 1.636 3.980
0.000 0.000 2.749
1.644 1.636 1.517
0.000 0.000 0.000
```

***

(12)
VASP calculation (PBE) on a geometry-optimized Th2FeTe structure.

Results
The energy is -6.402 eV/atom. As for the energy relative to the lowest polymorph listed for this composition: 0.807 eV per atom. Its space-group type is R-3m, No. 166. The total moment is 1.5 μB/f.u. The value obtained for the uncorrected formation energy is 209 meV per atom.

```
Th2FeTe
1.0
-2.741 -2.424 0.177
0.691 -3.577 -0.381
0.626 -2.776 9.576
Te Fe Th
1 1 2
Cartesian
-0.711 -4.388 4.686
0.000 0.000 0.000
0.297 -2.581 7.150
-1.720 -6.196 2.222
```

***

(13)
VASP calculation (PBE) on a geometry-optimized Th2FeTe structure.

Results
The energy is -7.210 eV/atom. As for the energy relative to the lowest polymorph listed for this composition: 0.000 eV per atom. Its space-group type is R-3m, No. 166. The total moment is 0.0 μB/f.u. The value obtained for the uncorrected formation energy is -599 meV per atom.

```
Th2FeTe
1.0
3.970 -0.004 0.862
1.895 3.489 0.862
0.342 0.203 7.996
Th Fe Te
2 1 1
Cartesian
1.644 0.977 2.003
4.563 2.711 7.718
0.000 0.000 0.000
3.104 1.844 4.860
```